1.
Below is PrEuFe4 after structural relaxation, with properties calculated at the PBE level.

a b c (Å): 5.266 5.266 5.266
angles (deg): 60.00 60.00 60.00
Site moments in Bohr magnetons follow the coordinates.
Sites, in units of the cell vectors:
Eu 0.000 0.000 0.000  6.50
Fe 0.626 0.123 0.626  2.30
Fe 0.626 0.626 0.123  2.30
Fe 0.626 0.626 0.626  2.30
Fe 0.123 0.626 0.626  2.30
Pr 0.250 0.250 0.250  -0.30

Output
D(E_F) in states/eV per atom: 2.976
DFT formation energy in eV/atom: 0.23
DFT total energy in Ry/atom: -0.5824

2.
Below is TaVRh after structural relaxation, with properties calculated at the PBE level.

a b c (Å): 2.745 4.394 4.394
angles (deg): 120.00 90.00 90.00
Site moments in Bohr magnetons follow the coordinates.
Sites, in units of the cell vectors:
Rh 0.344 0.667 0.333  0.06
V 0.666 0.333 0.667  0.20
Ta 0.990 0.000 0.000  0.03

Output
D(E_F) in states/eV per atom: 1.559
DFT formation energy in eV/atom: -0.10
Excess energy over the best structure of this formula in the dataset in meV/atom: 222
DFT total energy in Ry/atom: -0.7011